[1]
Density functional theory data (GGA-PBE) for a relaxed Ce2ICl3 crystal.

Lattice parameters (Å, degrees): 8.0397 8.0397 8.8377 62.94 62.94 60.00
Closest atoms and distances in Å follow each position.
Element x y z (fractional)
Ce 0.0000 0.0000 0.0000  6 Cl 2.86
Ce 0.5000 0.0000 0.0000  4 Cl 2.86
Ce 0.5000 0.5000 0.0000  4 Cl 2.86
Ce 0.0000 0.5000 0.0000  4 Cl 2.86
I 0.2341 0.2341 0.2978  3 Ce 3.23
I 0.7659 0.7659 0.7022  3 Ce 3.23
Cl 0.2584 0.7597 0.2223  3 Ce 2.86
Cl 0.2403 0.7416 0.7777  3 Ce 2.86
Cl 0.7597 0.2584 0.2223  3 Ce 2.86
Cl 0.7597 0.7597 0.2223  3 Ce 2.86
Cl 0.7416 0.2403 0.7777  3 Ce 2.86
Cl 0.2403 0.2403 0.7777  3 Ce 2.86

Calculated values
Total DFT energy (no corrections): -4.9221 eV per atom
Spin magnetization: 7.6 μB per cell

---

[2]
Density functional theory data (GGA-PBE) for a relaxed CeICl2 crystal.

Lattice parameters (Å, degrees): 4.1708 7.4533 8.8708 90.00 90.00 106.24
Closest atoms and distances in Å follow each position.
Element x y z (fractional)
Ce 0.7407 0.4815 0.7500  6 Cl 2.91-3.02, 2 I 3.16
Ce 0.2593 0.5185 0.2500  6 Cl 2.91-3.02, 2 I 3.16
I 0.9251 0.8503 0.2500  2 Ce 3.16
I 0.0749 0.1497 0.7500  2 Ce 3.16
Cl 0.3295 0.6592 0.5715  3 Ce 2.91-3.02, 1 Cl 3.17
Cl 0.6705 0.3408 0.4285  3 Ce 2.91-3.02, 1 Cl 3.17
Cl 0.3295 0.6592 0.9285  3 Ce 2.91-3.02, 1 Cl 3.17
Cl 0.6705 0.3408 0.0715  3 Ce 2.91-3.02, 1 Cl 3.17

Calculated values
Total DFT energy (no corrections): -4.7058 eV per atom
Spin magnetization: 2.0 μB per cell

---

[3]
Density functional theory data (GGA-PBE) for a relaxed CeI2Cl8 crystal.

Lattice parameters (Å, degrees): 7.7690 9.0392 9.0392 44.61 109.25 109.25
Closest atoms and distances in Å follow each position.
Element x y z (fractional)
Ce 0.0000 0.0000 0.0000  6 Cl 2.57-2.84
I 0.4599 0.2516 0.2516  2 Cl 2.39-2.61
I 0.5401 0.7484 0.7484  2 Cl 2.39-2.61
Cl 0.0296 0.1471 0.6384  1 Ce 2.57
Cl 0.0296 0.6384 0.1471  1 Ce 2.57
Cl 0.9704 0.8529 0.3616  1 Ce 2.57
Cl 0.4649 0.5969 0.5969  1 I 2.39
Cl 0.9704 0.3616 0.8529  1 Ce 2.57
Cl 0.3876 0.0866 0.0866  1 I 2.61, 1 Ce 2.84
Cl 0.6124 0.9134 0.9134  1 I 2.61, 1 Ce 2.84
Cl 0.5351 0.4031 0.4031  1 I 2.39

Calculated values
Total DFT energy (no corrections): -3.0333 eV per atom
Spin magnetization: 0.3 μB per cell